# Dy2ErMg, relaxed, DFT PBE-GGA
data_Dy2ErMg
_cell_length_a 5.542
_cell_length_b 11.980
_cell_length_c 7.048
_cell_angle_alpha 90.00
_cell_angle_beta 90.00
_cell_angle_gamma 90.00
_symmetry_space_group_name_H-M 'A m a 2'
_symmetry_Int_Tables_number 40
loop_
_symmetry_equiv_pos_as_xyz
'x,y,z'
'-x,-y,z'
'-x+1/2,y,z'
'x+1/2,-y,z'
'x,y+1/2,z+1/2'
'-x,-y+1/2,z+1/2'
'-x+1/2,y+1/2,z+1/2'
'x+1/2,-y+1/2,z+1/2'
loop_
_atom_site_label
_atom_site_type_symbol
_atom_site_fract_x
_atom_site_fract_y
_atom_site_fract_z
_atom_site_occupancy
Dy1 Dy 0.250 0.082 0.000 1
Dy2 Dy 0.250 0.337 0.752 1
Er1 Er 0.250 0.336 0.253 1
Mg1 Mg 0.250 0.088 0.503 1
# Total energy, eV per atom: -3.804
# Distance to the lowest polymorph of the same formula, kJ/mol of formula units: 6